No. 1
{
  "formula": "BaY2MgHg",
  "functional": "meta-GGA SCAN",
  "state": "single point on PBEsol structure",
  "cell": [[5.784, 0.000, 0.000], [0.000, 5.749, 0.000], [0.000, 0.000, 5.749]],
  "species": ["Y", "Y", "Mg", "Hg", "Ba"],
  "fractional_positions": [[0.000, 0.000, 0.500], [0.000, 0.500, 0.000], [0.500, 0.500, 0.500], [0.500, 0.000, 0.000], [0.000, 0.000, 0.000]],
  "n_ef_per_ev_cell": 5.1,
  "mass_density_g_cm3": 4.7
}

---

No. 2
{
  "formula": "BaMn2Hg",
  "functional": "meta-GGA SCAN",
  "state": "single point on PBEsol structure",
  "cell": [[5.028, 0.000, 0.000], [2.514, 4.355, 0.000], [2.514, 1.452, 4.106]],
  "species": ["Ba", "Hg", "Mn", "Mn"],
  "fractional_positions": [[0.000, 0.000, 0.000], [0.500, 0.500, 0.500], [0.250, 0.250, 0.250], [0.750, 0.750, 0.750]],
  "n_ef_per_ev_cell": 3.6,
  "mass_density_g_cm3": 8.3
}

---

No. 3
{
  "formula": "BaMn2Hg",
  "functional": "meta-GGA SCAN",
  "state": "single point on PBEsol structure",
  "cell": [[3.191, 0.008, 0.000], [-0.149, 5.590, 0.000], [-1.521, -2.799, 5.285]],
  "species": ["Ba", "Hg", "Mn", "Mn"],
  "fractional_positions": [[0.500, 0.000, 0.000], [0.000, 0.500, 0.000], [0.000, 0.000, 0.500], [0.500, 0.500, 0.500]],
  "n_ef_per_ev_cell": 2.7,
  "mass_density_g_cm3": 7.9
}

---

No. 4
{
  "formula": "BaMn2Hg",
  "functional": "meta-GGA SCAN",
  "state": "single point on PBEsol structure",
  "cell": [[3.410, 0.000, 0.000], [0.000, 5.535, 0.000], [-1.705, -2.768, 5.138]],
  "species": ["Ba", "Hg", "Mn", "Mn"],
  "fractional_positions": [[0.500, 0.000, 0.000], [0.000, 0.500, 0.000], [0.716, 0.716, 0.431], [0.284, 0.284, 0.569]],
  "n_ef_per_ev_cell": 2.6,
  "mass_density_g_cm3": 7.7
}

---

No. 5
{
  "formula": "BaMnHg4",
  "functional": "meta-GGA SCAN",
  "state": "single point on PBEsol structure",
  "cell": [[5.974, 0.000, 0.000], [2.987, 5.174, 0.000], [2.987, 1.725, 4.878]],
  "species": ["Ba", "Hg", "Hg", "Hg", "Hg", "Mn"],
  "fractional_positions": [[0.000, 0.000, 0.000], [0.376, 0.376, 0.376], [0.376, 0.376, 0.872], [0.872, 0.376, 0.376], [0.376, 0.872, 0.376], [0.750, 0.750, 0.750]],
  "n_ef_per_ev_cell": 3.1,
  "mass_density_g_cm3": 11.0
}

---

No. 6
{
  "formula": "BaHgMo3",
  "functional": "meta-GGA SCAN",
  "state": "single point on PBEsol structure",
  "cell": [[-4.385, 0.791, -2.565], [-0.620, -5.078, -0.505], [-2.611, -0.122, 4.427]],
  "species": ["Mo", "Mo", "Mo", "Hg", "Ba"],
  "fractional_positions": [[0.000, 0.500, 0.000], [0.000, 0.000, 0.500], [0.500, 0.000, 0.000], [0.000, 0.000, 0.000], [0.500, 0.500, 0.500]],
  "n_ef_per_ev_cell": 6.0,
  "mass_density_g_cm3": 7.6
}

---

No. 7
{
  "formula": "BaZrHg2Mo",
  "functional": "meta-GGA SCAN",
  "state": "single point on PBEsol structure",
  "cell": [[-2.834, 0.245, 4.646], [-3.070, -4.579, -1.631], [3.832, -3.467, 2.520]],
  "species": ["Mo", "Hg", "Hg", "Zr", "Ba"],
  "fractional_positions": [[0.500, 0.500, 0.500], [0.000, 0.000, 0.500], [0.000, 0.500, 0.000], [0.500, 0.000, 0.000], [0.000, 0.000, 0.000]],
  "n_ef_per_ev_cell": 3.3,
  "mass_density_g_cm3": 6.7
}

---

No. 8
{
  "formula": "BaHgNO2",
  "functional": "meta-GGA SCAN",
  "state": "single point on PBEsol structure",
  "cell": [[-2.236, 3.458, -0.460], [-2.135, -0.889, 3.703], [2.991, 2.235, 2.261]],
  "species": ["N", "Hg", "O", "O", "Ba"],
  "fractional_positions": [[0.500, 0.000, 0.000], [0.000, 0.000, 0.000], [0.000, 0.000, 0.500], [0.000, 0.500, 0.000], [0.500, 0.500, 0.500]],
  "formation_energy_uncorrected_kj_per_mol_atoms": -35.92,
  "n_ef_per_ev_cell": 1.7,
  "mass_density_g_cm3": 8.1
}

---

No. 9
{
  "formula": "BaHgNO2",
  "functional": "meta-GGA SCAN",
  "state": "single point on PBEsol structure",
  "cell": [[4.906, 0.000, 0.000], [0.000, 4.906, 0.000], [0.000, 0.000, 5.420]],
  "species": ["N", "Hg", "O", "O", "Ba"],
  "fractional_positions": [[0.000, 0.000, 0.500], [0.500, 0.500, 0.500], [0.000, 0.500, 0.000], [0.500, 0.000, 0.000], [0.000, 0.000, 0.000]],
  "formation_energy_uncorrected_kj_per_mol_atoms": 44.19,
  "n_ef_per_ev_cell": 3.4,
  "mass_density_g_cm3": 4.9
}

---

No. 10
{
  "formula": "BaNa2Hg2",
  "functional": "meta-GGA SCAN",
  "state": "single point on PBEsol structure",
  "cell": [[-2.713, -1.102, -3.540], [-0.772, -4.122, 1.875], [-4.048, 5.330, 4.424]],
  "species": ["Na", "Na", "Hg", "Hg", "Ba"],
  "fractional_positions": [[0.250, 0.750, 0.500], [0.750, 0.250, 0.500], [0.398, 0.398, 0.795], [0.602, 0.602, 0.205], [0.000, 0.000, 0.000]],
  "n_ef_per_ev_cell": 3.6,
  "mass_density_g_cm3": 6.3
}

---

No. 11
{
  "formula": "BaNa2Hg2",
  "functional": "meta-GGA SCAN",
  "state": "single point on PBEsol structure",
  "cell": [[4.444, 0.000, 0.000], [0.000, 8.482, 0.000], [0.000, 0.000, 8.482]],
  "species": ["Na", "Na", "Na", "Na", "Hg", "Hg", "Hg", "Hg", "Ba", "Ba"],
  "fractional_positions": [[0.500, 0.158, 0.658], [0.500, 0.658, 0.842], [0.500, 0.842, 0.342], [0.500, 0.342, 0.158], [0.000, 0.377, 0.877], [0.000, 0.877, 0.623], [0.000, 0.623, 0.123], [0.000, 0.123, 0.377], [0.000, 0.000, 0.000], [0.000, 0.500, 0.500]],
  "n_ef_per_ev_cell": 5.8,
  "mass_density_g_cm3": 6.1
}

---

No. 12
{
  "formula": "BaNbHg2O",
  "functional": "meta-GGA SCAN",
  "state": "single point on PBEsol structure",
  "cell": [[3.905, 0.000, 0.000], [0.000, 5.723, 0.000], [0.000, 0.000, 5.723]],
  "species": ["Nb", "Hg", "Hg", "O", "Ba"],
  "fractional_positions": [[0.500, 0.000, 0.000], [0.000, 0.000, 0.500], [0.000, 0.500, 0.000], [0.000, 0.000, 0.000], [0.500, 0.500, 0.500]],
  "formation_energy_uncorrected_kj_per_mol_atoms": -45.59,
  "n_ef_per_ev_cell": 3.6,
  "mass_density_g_cm3": 8.4
}

---

no.,total energy (eV for the cell shown)
1,-163.13
2,-143.22
3,-142.64
4,-143.34
5,-331.18
6,-202.18
7,-231.76
8,-131.33
9,-127.18
10,-186.39
11,-371.85
12,-217.61